a) Compound: TaCo2CuRe
Source: Alexandria via LeMat-Bulk
Functional: PBE
Structure: relaxed

a = 4.161 Å, b = 4.161 Å, c = 4.506 Å
α = 90.00°, β = 90.00°, γ = 90.00°
Space group P4/mmm (No. 123)
Inequivalent atoms, fractional coordinates:
Ta 0.000 0.000 0.000
Co 0.000 0.500 0.500
Cu 0.500 0.500 0.500
Re 0.500 0.500 0.000

---

b) Compound: TaCo2CuRe
Source: Alexandria via LeMat-Bulk
Functional: PBE
Structure: relaxed

a = 4.147 Å, b = 4.147 Å, c = 4.556 Å
α = 90.00°, β = 90.00°, γ = 90.00°
Space group P4/mmm (No. 123)
Inequivalent atoms, fractional coordinates:
Ta 0.000 0.000 0.000
Co 0.000 0.500 0.500
Cu 0.000 0.000 0.500
Re 0.500 0.500 0.000

---

Which structure above is the least stable one? b) is the least stable one.